The following is a PBE calculation of a geometry-optimized LiZnIr2 structure, from Alexandria.

Formation energy from the elements (meV/atom): -155
Crystal system: monoclinic
N(E_F) (states/eV/atom): 0.676

Lattice parameters (Å, degrees): 4.296 2.690 4.820 86.51 90.00 90.00
Fractional coordinates of all 4 atoms:
Ir  0.000  0.011  0.012
Ir  0.000  0.489  0.488
Li  0.500  0.250  0.250
Zn  0.500  0.750  0.750

=====

The following is a PBE calculation of a geometry-optimized Pr3Nd4PuSe8 structure, from Alexandria.

Formation energy without anion corrections (eV per atom): -1.808
Crystal system: trigonal
N(E_F) (states/eV/atom): 0.932

Lattice parameters (Å, degrees): 8.471 8.466 8.472 120.01 120.00 90.00
Each line ends with the local moment (μB).
Fractional coordinates of all 16 atoms:
Nd  0.000  0.000  0.500  0.02
Nd  0.000  0.000  0.000  0.02
Nd  0.500  0.000  0.500  0.02
Se  0.249  0.247  0.498  0.00
Se  0.753  0.251  0.998  -0.02
Se  0.245  0.251  0.998  -0.02
Pr  0.500  0.500  0.500  0.02
Pr  0.000  0.500  0.500  0.02
Se  0.247  0.749  0.494  -0.02
Se  0.751  0.753  0.502  0.00
Se  0.247  0.749  0.002  -0.02
Pu  0.000  0.500  0.000  5.47
Nd  0.500  0.000  0.000  -0.05
Pr  0.500  0.500  0.000  0.02
Se  0.755  0.749  0.002  -0.02
Se  0.753  0.251  0.506  -0.02

=====

The following is a PBE calculation of a geometry-optimized NaSbO2 structure, from Alexandria.

Formation energy without anion corrections (eV per atom): -1.501
Crystal system: monoclinic
N(E_F) (states/eV/atom): 0.000

Lattice parameters (Å, degrees): 5.376 5.473 8.899 93.93 90.00 90.00
Fractional coordinates of all 16 atoms:
Na  0.234  0.987  0.377
O  0.136  0.533  0.376
O  0.769  0.108  0.368
O  0.136  0.967  0.124
Sb  0.768  0.024  0.119
Na  0.234  0.513  0.123
Na  0.766  0.013  0.623
O  0.864  0.467  0.624
Sb  0.768  0.476  0.381
O  0.864  0.033  0.876
O  0.231  0.608  0.868
Na  0.766  0.487  0.877
Sb  0.232  0.976  0.881
Sb  0.232  0.524  0.619
O  0.231  0.892  0.632
O  0.769  0.392  0.132

=====

What did we get for total magnetization? Answer: 0.000 0.363 0.000 μB per atom, in the order shown.